{"formula": "ZrFe2SiH", "functional": "PBE", "state": "optimized geometry", "total_energy_ev_per_cell": -73.12, "m_tot_mub_per_fu": 2.8, "dos_ef_per_ev_fu": 2.78, "sg": "Cmcm, No. 63", "cell": [[3.344, 0.000, 0.000], [-1.672, 5.030, 0.000], [0.000, 0.000, 7.014]], "species": ["Si", "Si", "Fe", "Fe", "Fe", "Fe", "H", "H", "Zr", "Zr"], "fractional_positions": [[0.268, 0.536, 0.250], [0.732, 0.464, 0.750], [0.159, 0.317, 0.948], [0.159, 0.317, 0.552], [0.841, 0.683, 0.448], [0.841, 0.683, 0.052], [0.000, 0.000, 0.500], [0.000, 0.000, 0.000], [0.549, 0.098, 0.250], [0.451, 0.902, 0.750]]}